VASP calculation (PBE) on an optimized crystal structure of NbW4.

Values from the calculation:
- Energy of formation: 243 kJ/mol of atoms
- N(E_F): 1.03 states/eV/atom
- Raw total energy: -9.857 eV per atom

a = 4.6780 Å, b = 4.6780 Å, c = 4.6780 Å
α = 90.00°, β = 90.00°, γ = 90.00°
With the nearest neighbours (Å) after each atom.
Space group Pm-3m (No. 221)
Inequivalent atoms, fractional coordinates:
1 Nb 0.0000 0.0000 0.0000 [1 per cell]  6 W 2.34
2 W 0.0000 0.0000 0.5000 [3 per cell]  2 Nb 2.34
3 W 0.5000 0.5000 0.5000 [1 per cell]  12 W 3.31

VASP calculation (PBE) on an optimized crystal structure of Ca4Tl2Pb5.

Values from the calculation:
- Energy of formation: -31 kJ/mol of atoms
- N(E_F): 0.46 states/eV/atom
- Raw total energy: -3.170 eV per atom

a = 9.9000 Å, b = 3.7660 Å, c = 10.3440 Å
α = 90.00°, β = 117.61°, γ = 90.00°
With the nearest neighbours (Å) after each atom.
Space group P2/m (No. 10)
Inequivalent atoms, fractional coordinates:
1 Ca 0.2317 0.0000 0.0025 [2 per cell]  8 Pb 3.27-3.52, 2 Tl 3.53
2 Ca 0.2334 0.0000 0.4702 [2 per cell]  4 Pb 3.26-3.35, 2 Tl 3.29
3 Tl 0.1540 0.5000 0.6866 [2 per cell]  2 Pb 3.25-3.46, 4 Ca 3.29-3.53, 1 Tl 3.64
4 Pb 0.0858 0.5000 0.1797 [2 per cell]  1 Tl 3.25, 6 Ca 3.26-3.39, 2 Pb 3.29-3.35
5 Pb 0.4657 0.5000 0.3138 [2 per cell]  3 Pb 3.35-3.59, 4 Ca 3.35-3.52
6 Pb 0.5000 0.5000 0.0000 [1 per cell]  4 Ca 3.27, 2 Pb 3.42, 2 Tl 3.46

VASP calculation (PBE) on an optimized crystal structure of Li2ZnMo.

Values from the calculation:
- Energy of formation: 14 kJ/mol of atoms
- N(E_F): 0.75 states/eV/atom
- Raw total energy: -3.843 eV per atom

a = 2.7084 Å, b = 2.7084 Å, c = 8.2961 Å
α = 90.00°, β = 90.00°, γ = 90.00°
With the nearest neighbours (Å) after each atom.
Space group P4mm (No. 99)
Inequivalent atoms, fractional coordinates:
1 Li 0.0000 0.0000 0.0000 [1 per cell]  4 Zn 2.68, 8 Li 2.71-2.95
2 Li 0.5000 0.5000 0.2707 [1 per cell]  8 Li 2.71-2.95, 4 Mo 2.88
3 Zn 0.5000 0.5000 0.7735 [1 per cell]  4 Li 2.68, 4 Zn 2.71, 4 Mo 2.79
4 Mo 0.0000 0.0000 0.5293 [1 per cell]  4 Mo 2.71, 4 Zn 2.79, 4 Li 2.88

VASP calculation (PBE) on an optimized crystal structure of TbPr5Sm2Y.

Values from the calculation:
- Energy of formation: 27 kJ/mol of atoms
- N(E_F): 1.69 states/eV/atom
- Raw total energy: -4.654 eV per atom

a = 8.7469 Å, b = 8.7469 Å, c = 16.6472 Å
α = 90.00°, β = 90.00°, γ = 90.00°
With the nearest neighbours (Å) after each atom.
Space group I4/mcm (No. 140)
Inequivalent atoms, fractional coordinates:
1 Tb 0.0000 0.0000 0.2500 [4 per cell]  8 Pr 3.60
2 Pr 0.0000 0.0000 0.0000 [4 per cell]  4 Sm 3.48
3 Pr 0.2146 0.2854 0.1419 [16 per cell]  1 Sm 3.12, 1 Y 3.21
4 Sm 0.1202 0.3798 0.5000 [8 per cell]  1 Sm 2.97, 2 Pr 3.12
5 Y 0.0000 0.5000 0.2500 [4 per cell]  4 Pr 3.21